No. 1
Compound: TbNd6Dy8
Source: Alexandria
Functional: GGA-PBE
Structure: optimized geometry

```
data_TbNd6Dy8
_chemical_formula_sum 'Tb1 Nd6 Dy8'
_space_group_name_H-M_alt 'P 1'
_space_group_IT_number 1
_space_group_name_Hall 'P 1'
_cell_length_a 9.427
_cell_length_b 9.427
_cell_length_c 6.536
_cell_angle_alpha 90.00
_cell_angle_beta 90.00
_cell_angle_gamma 120.00
loop_
_atom_site_label
_atom_site_fract_x
_atom_site_fract_y
_atom_site_fract_z
Tb1 0.000 0.000 0.000
Nd1 0.034 0.287 0.667
Nd2 0.253 0.966 0.667
Nd3 0.287 0.253 0.333
Nd4 0.713 0.747 0.667
Nd5 0.747 0.034 0.333
Nd6 0.966 0.713 0.333
Dy1 0.094 0.440 0.159
Dy2 0.333 0.667 0.622
Dy3 0.345 0.906 0.159
Dy4 0.440 0.345 0.841
Dy5 0.560 0.655 0.159
Dy6 0.655 0.094 0.841
Dy7 0.667 0.333 0.378
Dy8 0.906 0.560 0.841
```

Calculated values
SG   P-3 (147)
Energy relative to the elements   181 meV per atom
ΔE to the lowest computed polymorph   0.0610 eV per atom
DFT total energy   -4.490 eV/atom

=====

No. 2
Compound: Tb4Nd5Dy
Source: Alexandria
Functional: GGA-PBE
Structure: optimized geometry

```
data_Tb4Nd5Dy
_chemical_formula_sum 'Tb4 Nd5 Dy1'
_space_group_name_H-M_alt 'P 1'
_space_group_IT_number 1
_space_group_name_Hall 'P 1'
_cell_length_a 3.620
_cell_length_b 9.565
_cell_length_c 10.244
_cell_angle_alpha 74.36
_cell_angle_beta 89.95
_cell_angle_gamma 79.12
loop_
_atom_site_label
_atom_site_fract_x
_atom_site_fract_y
_atom_site_fract_z
Tb1 0.100 0.299 0.296
Tb2 0.300 0.899 0.900
Tb3 0.700 0.101 0.100
Tb4 0.900 0.701 0.704
Nd1 0.100 0.301 0.804
Nd2 0.300 0.900 0.400
Nd3 0.500 0.500 0.500
Nd4 0.700 0.100 0.600
Nd5 0.900 0.699 0.196
Dy1 0.500 0.500 0.000
```

Calculated values
SG   P-1 (2)
Energy relative to the elements   15 meV per atom
ΔE to the lowest computed polymorph   0.0000 eV per atom
DFT total energy   -4.681 eV/atom

=====

No. 3
Compound: Tb6Nd2Dy
Source: Alexandria
Functional: GGA-PBE
Structure: optimized geometry

```
data_Tb6Nd2Dy
_chemical_formula_sum 'Tb12 Nd4 Dy2'
_space_group_name_H-M_alt 'P 1'
_space_group_IT_number 1
_space_group_name_Hall 'P 1'
_cell_length_a 10.376
_cell_length_b 10.376
_cell_length_c 6.199
_cell_angle_alpha 91.90
_cell_angle_beta 91.90
_cell_angle_gamma 118.13
loop_
_atom_site_label
_atom_site_fract_x
_atom_site_fract_y
_atom_site_fract_z
Tb1 0.004 0.826 0.994
Tb2 0.093 0.577 0.240
Tb3 0.174 0.996 0.506
Tb4 0.338 0.490 0.008
Tb5 0.423 0.907 0.260
Tb6 0.490 0.338 0.508
Tb7 0.510 0.662 0.492
Tb8 0.577 0.093 0.740
Tb9 0.662 0.510 0.992
Tb10 0.826 0.004 0.494
Tb11 0.907 0.423 0.760
Tb12 0.996 0.174 0.006
Nd1 0.158 0.337 0.514
Nd2 0.337 0.158 0.014
Nd3 0.663 0.842 0.986
Nd4 0.842 0.663 0.486
Dy1 0.260 0.740 0.750
Dy2 0.740 0.260 0.250
```

Calculated values
SG   C2/c (15)
Energy relative to the elements   109 meV per atom
ΔE to the lowest computed polymorph   0.0000 eV per atom
DFT total energy   -4.548 eV/atom

=====

No. 4
Compound: Tb5Nd2Dy4
Source: Alexandria
Functional: GGA-PBE
Structure: optimized geometry

```
data_Tb5Nd2Dy4
_chemical_formula_sum 'Tb5 Nd2 Dy4'
_space_group_name_H-M_alt 'P 1'
_space_group_IT_number 1
_space_group_name_Hall 'P 1'
_cell_length_a 12.628
_cell_length_b 12.628
_cell_length_c 12.628
_cell_angle_alpha 164.05
_cell_angle_beta 137.89
_cell_angle_gamma 45.30
loop_
_atom_site_label
_atom_site_fract_x
_atom_site_fract_y
_atom_site_fract_z
Tb1 0.000 0.000 0.000
Tb2 0.053 0.358 0.696
Tb3 0.338 0.642 0.696
Tb4 0.662 0.358 0.304
Tb5 0.947 0.642 0.304
Nd1 0.268 0.768 0.500
Nd2 0.732 0.232 0.500
Dy1 0.309 0.500 0.809
Dy2 0.403 0.903 0.500
Dy3 0.597 0.097 0.500
Dy4 0.691 0.500 0.191
```

Calculated values
SG   Immm (71)
Energy relative to the elements   204 meV per atom
ΔE to the lowest computed polymorph   0.0551 eV per atom
DFT total energy   -4.442 eV/atom

=====

No. 5
Compound: Tb5NdDy5
Source: Alexandria
Functional: GGA-PBE
Structure: optimized geometry

```
data_Tb5NdDy5
_chemical_formula_sum 'Tb5 Nd1 Dy5'
_space_group_name_H-M_alt 'P 1'
_space_group_IT_number 1
_space_group_name_Hall 'P 1'
_cell_length_a 6.093
_cell_length_b 6.093
_cell_length_c 11.511
_cell_angle_alpha 90.00
_cell_angle_beta 90.00
_cell_angle_gamma 120.00
loop_
_atom_site_label
_atom_site_fract_x
_atom_site_fract_y
_atom_site_fract_z
Tb1 0.000 0.000 0.235
Tb2 0.000 0.000 0.765
Tb3 0.336 0.168 0.000
Tb4 0.832 0.168 0.000
Tb5 0.832 0.664 0.000
Nd1 0.333 0.667 0.500
Dy1 0.000 0.000 0.500
Dy2 0.333 0.667 0.173
Dy3 0.333 0.667 0.827
Dy4 0.667 0.333 0.341
Dy5 0.667 0.333 0.659
```

Calculated values
SG   P-6m2 (187)
Energy relative to the elements   320 meV per atom
ΔE to the lowest computed polymorph   0.0042 eV per atom
DFT total energy   -4.310 eV/atom

=====

No. 6
Compound: Tb2Nd3Dy5
Source: Alexandria
Functional: GGA-PBE
Structure: optimized geometry

```
data_Tb2Nd3Dy5
_chemical_formula_sum 'Tb4 Nd6 Dy10'
_space_group_name_H-M_alt 'P 1'
_space_group_IT_number 1
_space_group_name_Hall 'P 1'
_cell_length_a 9.656
_cell_length_b 9.656
_cell_length_c 9.429
_cell_angle_alpha 108.40
_cell_angle_beta 108.40
_cell_angle_gamma 112.50
loop_
_atom_site_label
_atom_site_fract_x
_atom_site_fract_y
_atom_site_fract_z
Tb1 0.034 0.270 0.046
Tb2 0.270 0.034 0.546
Tb3 0.730 0.966 0.454
Tb4 0.966 0.730 0.954
Nd1 0.231 0.481 0.453
Nd2 0.266 0.734 0.250
Nd3 0.481 0.231 0.953
Nd4 0.519 0.769 0.047
Nd5 0.734 0.266 0.750
Nd6 0.769 0.519 0.547
Dy1 0.030 0.970 0.750
Dy2 0.124 0.353 0.728
Dy3 0.227 0.773 0.750
Dy4 0.353 0.124 0.228
Dy5 0.475 0.525 0.250
Dy6 0.525 0.475 0.750
Dy7 0.647 0.876 0.772
Dy8 0.773 0.227 0.250
Dy9 0.876 0.647 0.272
Dy10 0.970 0.030 0.250
```

Calculated values
SG   C2/c (15)
Energy relative to the elements   190 meV per atom
ΔE to the lowest computed polymorph   0.0000 eV per atom
DFT total energy   -4.467 eV/atom

=====

No. 7
Compound: Tb4Nd3Dy
Source: Alexandria
Functional: GGA-PBE
Structure: optimized geometry

```
data_Tb4Nd3Dy
_chemical_formula_sum 'Tb8 Nd6 Dy2'
_space_group_name_H-M_alt 'P 1'
_space_group_IT_number 1
_space_group_name_Hall 'P 1'
_cell_length_a 11.561
_cell_length_b 7.332
_cell_length_c 6.324
_cell_angle_alpha 90.00
_cell_angle_beta 90.00
_cell_angle_gamma 90.00
loop_
_atom_site_label
_atom_site_fract_x
_atom_site_fract_y
_atom_site_fract_z
Tb1 0.000 0.123 0.000
Tb2 0.000 0.877 0.500
Tb3 0.248 0.123 0.333
Tb4 0.252 0.877 0.833
Tb5 0.500 0.123 0.000
Tb6 0.500 0.877 0.500
Tb7 0.748 0.877 0.833
Tb8 0.752 0.123 0.333
Nd1 0.000 0.627 0.999
Nd2 0.250 0.374 0.833
Nd3 0.250 0.626 0.333
Nd4 0.500 0.373 0.499
Nd5 0.750 0.374 0.833
Nd6 0.750 0.626 0.333
Dy1 0.000 0.371 0.499
Dy2 0.500 0.629 0.999
```

Calculated values
SG   Pmn2_1 (31)
Energy relative to the elements   25 meV per atom
ΔE to the lowest computed polymorph   0.0000 eV per atom
DFT total energy   -4.654 eV/atom

=====

No. 8
Compound: TbNd2Dy4
Source: Alexandria
Functional: GGA-PBE
Structure: optimized geometry

```
data_TbNd2Dy4
_chemical_formula_sum 'Tb1 Nd2 Dy4'
_space_group_name_H-M_alt 'P 1'
_space_group_IT_number 1
_space_group_name_Hall 'P 1'
_cell_length_a 8.638
_cell_length_b 8.638
_cell_length_c 8.820
_cell_angle_alpha 119.23
_cell_angle_beta 119.23
_cell_angle_gamma 23.72
loop_
_atom_site_label
_atom_site_fract_x
_atom_site_fract_y
_atom_site_fract_z
Tb1 0.000 0.000 0.000
Nd1 0.070 0.070 0.429
Nd2 0.930 0.930 0.571
Dy1 0.295 0.295 0.708
Dy2 0.354 0.354 0.154
Dy3 0.646 0.646 0.846
Dy4 0.705 0.705 0.292
```

Calculated values
SG   C2/m (12)
Energy relative to the elements   52 meV per atom
ΔE to the lowest computed polymorph   0.0000 eV per atom
DFT total energy   -4.601 eV/atom